1.
10
Lattice="6.9886 0.0000 0.0000 0.0000 6.9886 0.0000 0.0000 0.0000 3.3963" Properties=species:S:1:pos:R:3 comment="Co2Sb2S, optimized geometry, DFT PBE" de_polymorph_ev_per_fu=0.00 pbc="T T T"
Co 0.9388 2.5555 0.0000
Co 2.5555 6.0499 0.0000
Co 4.4331 0.9388 0.0000
Co 6.0499 4.4331 0.0000
Sb 1.1097 4.6040 1.6981
Sb 2.3846 1.1097 1.6981
Sb 4.6040 5.8789 1.6981
Sb 5.8789 2.3846 1.6981
S 0.0000 0.0000 0.0000
S 3.4943 3.4943 0.0000



2.
Density functional theory data (PBE) for CoSbS2 after structural relaxation.

Structure (extended XYZ):
```
8
Lattice="-2.9918 2.9918 4.6902 2.9918 -2.9918 4.6902 2.9918 2.9918 -4.6902" Properties=species:S:1:pos:R:3 pbc="T T T"
Co 0.0000 0.0000 0.0000
Co 0.0000 2.9918 2.3451
Sb 2.9918 0.0000 2.3451
Sb 0.0000 0.0000 4.6902
S 4.4876 0.9820 -1.1725
S 0.9820 1.4959 1.1725
S -1.4959 2.0097 3.5176
S 2.0097 1.4959 5.8627
```



3.
5
Lattice="4.6934 0.0000 0.0000 0.0000 4.6934 0.0000 0.0000 0.0000 4.6934" Properties=species:S:1:pos:R:3 comment="Co3SbS, optimized geometry, DFT PBE" de_polymorph_ev_per_fu=5.86 pbc="T T T"
Co 0.0000 0.0000 2.3467
Co 0.0000 2.3467 0.0000
Co 2.3467 0.0000 0.0000
Sb 0.0000 0.0000 0.0000
S 2.3467 2.3467 2.3467



For each record above, in turn, the calculated calculated volume values are 16.588; 20.990; 20.677 A^3/atom.
For each record above, in turn, the calculated E_form (uncorrected) values are 0.212; -0.027; 1.397 eV per atom.